Here is an optimized crystal structure of TbScCdOs from Alexandria via LeMat-Bulk. Energies are from PBE-GGA.

abc: 3.368 3.368 7.541
angles: 90.00 90.00 90.00
Element x y z (fractional)
Tb: 0.000 0.000 0.000
Sc: 0.000 0.000 0.575
Cd: 0.500 0.500 0.312
Os: 0.500 0.500 0.768

Formation energy from the elements ... -136 kJ/mol of formula units
Total magnetization ... 0.000 μB per formula unit
E ... -6.129 eV per atom